The following is a PBE calculation of TaCS3 after structural relaxation, from Alexandria via LeMat-Bulk.

Cell lengths 4.775, 4.775, 4.775 Å; angles 90.00, 90.00, 90.00 degrees
Atoms (fractional coordinates):
1 Ta 0.000 0.000 0.000
2 S 0.000 0.000 0.500
3 S 0.500 0.000 0.000
4 S 0.000 0.500 0.000
5 C 0.500 0.500 0.500

Computed properties:
Space group: Pm-3m, No. 221
Uncorrected formation energy (meV/atom): 1125
Total magnetization (μB per formula unit): 1.1
Offset from the most stable computed form (eV per atom): 0.1893

The following is a PBE calculation of HgP2RhO after structural relaxation, from Alexandria via LeMat-Bulk.

Cell lengths 4.965, 4.965, 3.955 Å; angles 90.00, 90.00, 90.00 degrees
Atoms (fractional coordinates):
1 P 0.000 0.500 0.000
2 P 0.500 0.000 0.000
3 Hg 0.000 0.000 0.000
4 O 0.000 0.000 0.500
5 Rh 0.500 0.500 0.500

Computed properties:
Space group: P4/mmm, No. 123
Uncorrected formation energy (meV/atom): 1365
Total magnetization (μB per formula unit): 0.0
Offset from the most stable computed form (eV per atom): 1.0718

The following is a PBE calculation of ZrP2Ru after structural relaxation, from Alexandria via LeMat-Bulk.

Cell lengths 4.399, 4.399, 3.093 Å; angles 90.00, 90.00, 90.00 degrees
Atoms (fractional coordinates):
1 P 0.000 0.000 0.000
2 P 0.500 0.500 0.000
3 Zr 0.000 0.500 0.500
4 Ru 0.500 0.000 0.500

Computed properties:
Space group: P4/mmm, No. 123
Formation energy from the elements (eV per formula unit): -2.43
Total magnetization (μB per formula unit): 0.0
Offset from the most stable computed form (eV per atom): 0.2147

| no. | volume (Å³ per atom) |
| --- | --- |
| 1 | 21.8 |
| 2 | 19.5 |
| 3 | 15.0 |